# SCAN BaOs2W, single point on PBEsol structure
# - energy relative to the elements (eV per atom) = 0.55
# - electronic total energy (eV per formula unit) = -250.78
# - magnetic moment (Bohr magnetons per cell) = 0.0
# - distance to the lowest polymorph of the same formula (meV/atom) = 0
data_BaOs2W
_chemical_formula_sum 'Ba1 Os2 W1'
_symmetry_space_group_name_H-M 'P 1 2/m 1'
_symmetry_Int_Tables_number 10
_cell_length_a 3.1022
_cell_length_b 3.1034
_cell_length_c 8.0069
_cell_angle_alpha 90.00
_cell_angle_beta 90.22
_cell_angle_gamma 90.00
loop_
_symmetry_equiv_pos_as_xyz
'x,y,z'
'-x,-y,-z'
'-x,y,-z'
'x,-y,z'
loop_
_atom_site_label
_atom_site_type_symbol
_atom_site_fract_x
_atom_site_fract_y
_atom_site_fract_z
Ba1 Ba 0.0000 0.0000 0.0000
Os1 Os 0.4985 0.5000 0.3170
W1 W 0.0000 0.0000 0.5000